DFT (PBE) results for crystalline K9Rb2Hg4 at its relaxed geometry.

Computed properties:
For the calculated density, the calculation gives 2.7 g/cm³. As for the final energy: -14.36 eV per cell.

Cell lengths 6.2242, 6.2242, 24.0503 Å; angles 90.00, 90.00, 120.00 degrees
Fractional coordinates of all 15 atoms:
K (0.0000, 0.0000, 0.0000)
K (0.0000, 0.0000, 0.1716)
K (0.0000, 0.0000, 0.3840)
K (0.0000, 0.0000, 0.6160)
K (0.0000, 0.0000, 0.8284)
K (0.3333, 0.6667, 0.0708)
K (0.3333, 0.6667, 0.4634)
K (0.6667, 0.3333, 0.5366)
K (0.6667, 0.3333, 0.9292)
Rb (0.3333, 0.6667, 0.2789)
Rb (0.6667, 0.3333, 0.7211)
Hg (0.3333, 0.6667, 0.6186)
Hg (0.3333, 0.6667, 0.9021)
Hg (0.6667, 0.3333, 0.0979)
Hg (0.6667, 0.3333, 0.3814)

=====

DFT (PBE) results for crystalline K5RbHg at its relaxed geometry.

Computed properties:
For the calculated density, the calculation gives 1.8 g/cm³. For the distance to the lowest polymorph of the same formula, the calculation gives 0 meV/atom. As for the final energy: -7.09 eV per cell.

Cell lengths 6.2942, 6.2942, 11.3065 Å; angles 90.00, 90.00, 90.00 degrees
Fractional coordinates of all 7 atoms:
K (0.0000, 0.0000, 0.0000)
K (0.0000, 0.5000, 0.3202)
K (0.0000, 0.5000, 0.6798)
K (0.5000, 0.0000, 0.3202)
K (0.5000, 0.0000, 0.6798)
Rb (0.5000, 0.5000, 0.0000)
Hg (0.5000, 0.5000, 0.5000)

=====

The evaluated magnetization for the records listed, in turn: 0.0, 0.0 μB/f.u..